(1)
The following is a DFT calculation (PBE) of Al2SiO5 after structural relaxation.

The structure in POSCAR format:
```
Al2SiO5
1.0
7.775 0.000 0.000
0.000 5.818 0.000
0.000 0.000 7.572
Al Si O
8 4 20
direct
0.000 0.000 0.000
0.000 0.500 0.000
0.154 0.250 0.357
0.346 0.750 0.857
0.500 0.000 0.500
0.500 0.500 0.500
0.654 0.250 0.143
0.846 0.750 0.643
0.159 0.750 0.347
0.341 0.250 0.847
0.659 0.750 0.153
0.841 0.250 0.653
0.001 0.250 0.522
0.066 0.250 0.143
0.090 0.750 0.141
0.224 0.014 0.875
0.224 0.486 0.875
0.276 0.514 0.375
0.276 0.986 0.375
0.410 0.250 0.641
0.434 0.750 0.643
0.499 0.750 0.022
0.501 0.250 0.978
0.566 0.250 0.357
0.590 0.750 0.359
0.724 0.014 0.625
0.724 0.486 0.625
0.776 0.514 0.125
0.776 0.986 0.125
0.910 0.250 0.859
0.934 0.750 0.857
0.999 0.750 0.478
```

**Relative energy among the computed polymorphs**: 0.18 kcal/mol of atoms
**Space-group type**: Pnma, No. 62
**Uncorrected formation energy**: -282.8 kJ per mole of atoms

=====

(2)
The following is a DFT calculation (PBE) of AlSi3O8 after structural relaxation.

The structure in POSCAR format:
```
AlSi3O8
1.0
5.151 0.000 0.000
0.000 6.262 6.683
0.000 -6.262 6.683
Al Si O
2 6 16
direct
0.000 0.000 0.000
0.500 0.500 0.500
0.000 0.654 0.654
0.105 0.000 0.646
0.395 0.500 0.146
0.500 0.154 0.154
0.605 0.146 0.500
0.895 0.646 0.000
0.063 0.827 0.622
0.065 0.032 0.814
0.099 0.541 0.094
0.243 0.555 0.608
0.257 0.055 0.108
0.401 0.041 0.594
0.435 0.532 0.314
0.437 0.327 0.122
0.563 0.122 0.327
0.565 0.314 0.532
0.599 0.594 0.041
0.743 0.108 0.055
0.757 0.608 0.555
0.901 0.094 0.541
0.935 0.814 0.032
0.937 0.622 0.827
```

**Relative energy among the computed polymorphs**: 0.00 kcal/mol of atoms
**Space-group type**: Aea2, No. 41
**Uncorrected formation energy**: -252.7 kJ per mole of atoms

=====

(3)
The following is a DFT calculation (PBE) of AlSi3O8 after structural relaxation.

The structure in POSCAR format:
```
AlSi3O8
1.0
5.206 0.000 0.000
0.000 9.058 0.000
-0.061 0.000 9.187
Al Si O
2 6 16
direct
0.171 0.000 0.070
0.829 0.500 0.930
0.219 0.985 0.424
0.279 0.337 0.437
0.325 0.354 0.092
0.675 0.854 0.908
0.721 0.837 0.563
0.781 0.485 0.576
0.010 0.417 0.476
0.112 0.466 0.027
0.151 0.963 0.254
0.250 0.186 0.054
0.253 0.160 0.464
0.347 0.371 0.268
0.403 0.895 0.981
0.488 0.900 0.463
0.512 0.400 0.537
0.597 0.395 0.019
0.653 0.871 0.732
0.747 0.660 0.536
0.750 0.686 0.946
0.849 0.463 0.746
0.888 0.966 0.973
0.990 0.917 0.524
```

**Relative energy among the computed polymorphs**: 0.11 kcal/mol of atoms
**Space-group type**: P2_1, No. 4
**Uncorrected formation energy**: -252.3 kJ per mole of atoms

=====

(4)
The following is a DFT calculation (PBE) of Al2Si2O9 after structural relaxation.

The structure in POSCAR format:
```
Al2Si2O9
1.0
5.192 0.000 0.000
2.572 4.514 0.000
2.067 -0.242 7.673
Al Si O
2 2 9
direct
0.000 0.000 0.000
0.364 0.365 0.000
0.546 0.343 0.362
0.888 0.685 0.362
0.009 0.683 0.147
0.105 0.304 0.881
0.182 0.466 0.440
0.267 0.064 0.090
0.346 0.687 0.862
0.627 0.302 0.147
0.638 0.574 0.415
0.728 0.069 0.863
0.736 0.020 0.439
```

**Relative energy among the computed polymorphs**: 2.66 kcal/mol of atoms
**Space-group type**: P1, No. 1
**Uncorrected formation energy**: -196.2 kJ per mole of atoms

=====

(5)
The following is a DFT calculation (PBE) of AlSiO2 after structural relaxation.

The structure in POSCAR format:
```
AlSiO2
1.0
1.392 0.804 5.922
-1.392 0.804 5.922
0.000 -1.607 5.922
Al Si O
1 1 2
direct
0.000 0.000 0.000
0.500 0.500 0.500
0.389 0.389 0.389
0.611 0.611 0.611
```

**Relative energy among the computed polymorphs**: 0.00 kcal/mol of atoms
**Space-group type**: R-3m, No. 166
**Uncorrected formation energy**: -202.4 kJ per mole of atoms

=====

(6)
The following is a DFT calculation (PBE) of SrAl2Si2O8 after structural relaxation.

The structure in POSCAR format:
```
SrAl2Si2O8
1.0
7.924 -5.684 0.000
7.924 5.684 0.000
-3.032 0.000 9.600
Sr Al Si O
4 8 8 32
direct
0.087 0.337 0.238
0.337 0.087 0.738
0.663 0.913 0.262
0.913 0.663 0.762
0.080 0.080 0.400
0.080 0.080 0.900
0.327 0.541 0.313
0.459 0.673 0.187
0.541 0.327 0.813
0.673 0.459 0.687
0.920 0.920 0.100
0.920 0.920 0.600
0.018 0.767 0.338
0.233 0.982 0.162
0.258 0.459 0.980
0.459 0.258 0.480
0.541 0.742 0.520
0.742 0.541 0.020
0.767 0.018 0.838
0.982 0.233 0.662
0.086 0.822 0.701
0.088 0.216 0.814
0.099 0.897 0.400
0.101 0.207 0.559
0.103 0.901 0.100
0.113 0.570 0.918
0.141 0.605 0.328
0.178 0.914 0.799
0.207 0.101 0.059
0.216 0.088 0.314
0.348 0.544 0.134
0.377 0.379 0.873
0.379 0.377 0.373
0.395 0.859 0.172
0.430 0.887 0.582
0.456 0.652 0.366
0.544 0.348 0.634
0.570 0.113 0.418
0.605 0.141 0.828
0.621 0.623 0.627
0.623 0.621 0.127
0.652 0.456 0.866
0.784 0.912 0.686
0.793 0.899 0.941
0.822 0.086 0.201
0.859 0.395 0.672
0.887 0.430 0.082
0.897 0.099 0.900
0.899 0.793 0.441
0.901 0.103 0.600
0.912 0.784 0.186
0.914 0.178 0.299
```

**Relative energy among the computed polymorphs**: 11.81 kcal/mol of atoms
**Space-group type**: C2/c, No. 15
**Uncorrected formation energy**: -241.4 kJ per mole of atoms

=====

(7)
The following is a DFT calculation (PBE) of Sr2Al2SiO7 after structural relaxation.

The structure in POSCAR format:
```
Sr2Al2SiO7
1.0
5.328 0.000 0.000
0.000 7.909 0.000
-0.053 0.000 7.921
Sr Al Si O
4 4 2 14
direct
0.005 0.000 0.402
0.017 0.323 0.077
0.983 0.823 0.923
0.995 0.500 0.598
0.468 0.525 0.892
0.499 0.666 0.253
0.501 0.166 0.747
0.532 0.025 0.108
0.458 0.808 0.609
0.542 0.308 0.391
0.207 0.023 0.112
0.239 0.307 0.396
0.315 0.335 0.822
0.319 0.581 0.086
0.320 0.748 0.428
0.328 0.994 0.653
0.338 0.679 0.750
0.662 0.179 0.250
0.672 0.494 0.347
0.680 0.248 0.572
0.681 0.081 0.914
0.685 0.835 0.178
0.761 0.807 0.604
0.793 0.523 0.888
```

**Space-group type**: P2_1, No. 4
**Uncorrected formation energy**: -296.0 kJ per mole of atoms

=====

(8)
The following is a DFT calculation (PBE) of SrAl2Si2O8 after structural relaxation.

The structure in POSCAR format:
```
SrAl2Si2O8
1.0
5.242 0.000 0.000
-2.621 4.540 0.000
0.000 0.000 15.408
Sr Al Si O
2 4 4 16
direct
0.000 0.000 0.000
0.000 0.000 0.500
0.333 0.667 0.355
0.333 0.667 0.855
0.667 0.333 0.145
0.667 0.333 0.645
0.333 0.667 0.140
0.333 0.667 0.640
0.667 0.333 0.360
0.667 0.333 0.860
0.012 0.410 0.101
0.012 0.603 0.601
0.333 0.667 0.244
0.333 0.667 0.744
0.397 0.410 0.601
0.397 0.988 0.101
0.410 0.012 0.399
0.410 0.397 0.899
0.590 0.603 0.101
0.590 0.988 0.601
0.603 0.012 0.899
0.603 0.590 0.399
0.667 0.333 0.256
0.667 0.333 0.756
0.988 0.397 0.399
0.988 0.590 0.899
```

**Relative energy among the computed polymorphs**: 0.00 kcal/mol of atoms
**Space-group type**: P-3c1, No. 165
**Uncorrected formation energy**: -290.9 kJ per mole of atoms

=====

| no. | total DFT energy (no corrections) (eV per atom) |
| --- | --- |
| 1 | -7.64 |
| 2 | -7.59 |
| 3 | -7.59 |
| 4 | -6.88 |
| 5 | -6.87 |
| 6 | -7.09 |
| 7 | -7.32 |
| 8 | -7.61 |